[1]
Sm4MgTl2 | GGA-PBE | relaxed

a = 8.791 Å, b = 8.777 Å, c = 8.781 Å
α = 134.42°, β = 101.54°, γ = 95.72°
Sites, in units of the cell vectors:
Sm: 0.891 0.646 0.754
Sm: 0.360 0.613 0.255
Sm: 0.891 0.137 0.246
Sm: 0.490 0.720 0.769
Sm: 0.359 0.104 0.745
Sm: 0.760 0.030 0.731
Sm: 0.299 0.030 0.270
Sm: 0.951 0.719 0.230
Tl: 0.125 0.375 0.750
Tl: 0.625 0.375 0.750
Tl: 0.625 0.875 0.250
Tl: 0.625 0.374 0.250
Mg: 0.120 0.620 0.500
Mg: 0.130 0.130 0.000

Output
E_form ... -0.0460 eV per atom
SG ... P1 (1)

=====

[2]
SmMgTl | GGA-PBE | relaxed

a = 5.038 Å, b = 5.038 Å, c = 5.038 Å
α = 60.00°, β = 60.00°, γ = 60.00°
Sites, in units of the cell vectors:
Tl: 0.250 0.250 0.250
Sm: 0.500 0.500 0.500
Mg: 0.000 0.000 0.000

Output
E_form ... -0.2033 eV per atom
SG ... F-43m (216)

=====

[3]
Sm8MgTl5 | GGA-PBE | relaxed

a = 8.258 Å, b = 8.258 Å, c = 8.258 Å
α = 109.45°, β = 109.51°, γ = 109.45°
Sites, in units of the cell vectors:
Sm: 0.134 0.762 0.036
Sm: 0.275 0.238 0.372
Sm: 0.642 0.399 0.880
Sm: 0.964 0.097 0.725
Sm: 0.628 0.903 0.866
Sm: 0.756 0.238 0.358
Sm: 0.120 0.762 0.519
Sm: 0.481 0.601 0.244
Mg: 0.250 0.500 0.750
Tl: 0.863 0.876 0.244
Tl: 0.500 0.000 0.500
Tl: 0.013 0.381 0.137
Tl: 0.756 0.619 0.632
Tl: 0.368 0.124 0.987

Output
E_form ... -0.2029 eV per atom
SG ... I-4 (82)

=====

[4]
SmMgTl | GGA-PBE | relaxed

a = 4.486 Å, b = 4.682 Å, c = 7.998 Å
α = 107.02°, β = 90.00°, γ = 90.00°
Sites, in units of the cell vectors:
Mg: 0.500 0.500 0.000
Mg: 0.000 0.000 0.000
Tl: 0.500 0.850 0.700
Tl: 0.500 0.150 0.300
Sm: 0.000 0.336 0.673
Sm: 0.000 0.664 0.327

Output
E_form ... -0.2561 eV per atom
SG ... Cmmm (65)

=====

[5]
Sm2MgTl9 | GGA-PBE | relaxed

a = 4.810 Å, b = 4.810 Å, c = 14.361 Å
α = 90.00°, β = 90.00°, γ = 90.00°
Sites, in units of the cell vectors:
Tl: 0.000 0.500 0.500
Tl: 0.500 0.500 0.668
Tl: 0.500 0.000 0.162
Tl: 0.000 0.500 0.838
Tl: 0.500 0.000 0.838
Tl: 0.500 0.000 0.500
Tl: 0.000 0.500 0.162
Tl: 0.500 0.500 0.332
Tl: 0.500 0.500 0.000
Sm: 0.000 0.000 0.336
Sm: 0.000 0.000 0.664
Mg: 0.000 0.000 0.000

Output
E_form ... -0.1652 eV per atom
SG ... P4/mmm (123)

=====

[6]
SmMgTl2 | GGA-PBE | relaxed

a = 4.307 Å, b = 4.307 Å, c = 7.808 Å
α = 73.99°, β = 73.99°, γ = 60.00°
Sites, in units of the cell vectors:
Mg: 0.498 0.498 0.505
Sm: 0.668 0.668 0.995
Tl: 0.241 0.241 0.278
Tl: 0.093 0.093 0.722

Output
E_form ... -0.0464 eV per atom
SG ... R3m (160)

=====

[7]
Sm9MgTl2 | GGA-PBE | relaxed

a = 4.959 Å, b = 4.959 Å, c = 14.860 Å
α = 90.00°, β = 90.00°, γ = 90.00°
Sites, in units of the cell vectors:
Sm: 0.000 0.500 0.500
Sm: 0.500 0.500 0.669
Sm: 0.000 0.500 0.833
Sm: 0.500 0.500 0.331
Sm: 0.500 0.000 0.500
Sm: 0.000 0.500 0.167
Sm: 0.500 0.000 0.167
Sm: 0.500 0.000 0.833
Sm: 0.500 0.500 0.000
Mg: 0.000 0.000 0.000
Tl: 0.000 0.000 0.335
Tl: 0.000 0.000 0.665

Output
E_form ... -0.1250 eV per atom
SG ... P4/mmm (123)

=====

[8]
SmMg11Tl | GGA-PBE | relaxed

a = 5.935 Å, b = 7.773 Å, c = 7.839 Å
α = 82.02°, β = 67.76°, γ = 68.49°
Sites, in units of the cell vectors:
Mg: 0.655 0.350 0.354
Mg: 0.345 0.650 0.646
Mg: 0.991 0.650 0.354
Mg: 0.009 0.350 0.646
Mg: 0.500 0.000 0.500
Mg: 0.503 0.789 0.211
Mg: 0.000 0.500 0.000
Mg: 0.000 0.000 0.500
Mg: 0.715 0.789 0.789
Mg: 0.497 0.211 0.789
Mg: 0.285 0.211 0.211
Tl: 0.500 0.500 0.000
Sm: 0.000 0.000 0.000

Output
E_form ... -0.0494 eV per atom
SG ... C2/m (12)

=====

[9]
SmMgTl2 | GGA-PBE | relaxed

a = 3.653 Å, b = 3.653 Å, c = 7.854 Å
α = 90.00°, β = 90.00°, γ = 90.00°
Sites, in units of the cell vectors:
Tl: 0.000 0.000 0.229
Tl: 0.000 0.000 0.771
Sm: 0.500 0.500 0.500
Mg: 0.500 0.500 0.000

Output
E_form ... -0.2185 eV per atom
SG ... P4/mmm (123)

=====

[10]
Sm5MgTl2 | GGA-PBE | relaxed

a = 4.686 Å, b = 6.163 Å, c = 17.884 Å
α = 90.00°, β = 90.00°, γ = 112.34°
Sites, in units of the cell vectors:
Mg: 0.178 0.355 0.250
Mg: 0.822 0.645 0.750
Sm: 0.341 0.681 0.043
Sm: 0.542 0.083 0.750
Sm: 0.957 0.915 0.598
Sm: 0.659 0.319 0.957
Sm: 0.043 0.085 0.402
Sm: 0.043 0.085 0.098
Sm: 0.458 0.917 0.250
Sm: 0.341 0.681 0.457
Sm: 0.659 0.319 0.543
Sm: 0.957 0.915 0.902
Tl: 0.754 0.507 0.155
Tl: 0.754 0.507 0.345
Tl: 0.246 0.493 0.655
Tl: 0.246 0.493 0.845

Output
E_form ... -0.1237 eV per atom
SG ... Cmcm (63)

=====

[11]
Sm2Mg3Tl | GGA-PBE | relaxed

a = 6.236 Å, b = 6.236 Å, c = 10.300 Å
α = 114.53°, β = 114.53°, γ = 68.20°
Sites, in units of the cell vectors:
Mg: 0.833 0.833 0.667
Mg: 0.167 0.167 0.333
Mg: 0.334 0.334 0.166
Mg: 0.666 0.666 0.834
Mg: 0.832 0.832 0.166
Mg: 0.168 0.168 0.834
Tl: 0.334 0.334 0.668
Tl: 0.666 0.666 0.332
Sm: 0.751 0.249 0.000
Sm: 0.250 0.750 0.500
Sm: 0.750 0.250 0.500
Sm: 0.249 0.751 0.000

Output
E_form ... -0.1785 eV per atom
SG ... Fmmm (69)

=====

[12]
Sm4MgTl | GGA-PBE | relaxed

a = 5.346 Å, b = 9.865 Å, c = 6.912 Å
α = 90.00°, β = 90.00°, γ = 90.00°
Sites, in units of the cell vectors:
Tl: 0.250 0.107 0.250
Tl: 0.750 0.893 0.750
Sm: 0.750 0.578 0.250
Sm: 0.250 0.740 0.993
Sm: 0.250 0.069 0.750
Sm: 0.250 0.740 0.507
Sm: 0.250 0.422 0.750
Sm: 0.750 0.260 0.007
Sm: 0.750 0.931 0.250
Sm: 0.750 0.260 0.493
Mg: 0.750 0.590 0.750
Mg: 0.250 0.410 0.250

Output
E_form ... -0.1257 eV per atom
SG ... Pmmn (59)

=====

[13]
Sm7Mg4Tl | GGA-PBE | relaxed

a = 5.859 Å, b = 9.350 Å, c = 8.085 Å
α = 66.90°, β = 68.76°, γ = 71.74°
Sites, in units of the cell vectors:
Mg: 0.327 0.356 0.990
Mg: 0.539 0.320 0.603
Mg: 0.673 0.644 0.010
Mg: 0.461 0.680 0.397
Tl: 0.000 0.000 0.000
Sm: 0.911 0.447 0.731
Sm: 0.500 0.000 0.000
Sm: 0.763 0.265 0.209
Sm: 0.178 0.124 0.520
Sm: 0.089 0.553 0.269
Sm: 0.822 0.876 0.480
Sm: 0.237 0.735 0.791

Output
E_form ... 0.0601 eV per atom
SG ... C2/m (12)

=====

[14]
Sm3Mg12Tl5 | GGA-PBE | relaxed

a = 15.246 Å, b = 15.246 Å, c = 15.246 Å
α = 109.47°, β = 109.47°, γ = 109.47°
Sites, in units of the cell vectors:
Mg: 0.632 0.574 0.912
Mg: 0.442 0.662 0.074
Mg: 0.058 0.426 0.838
Mg: 0.868 0.280 0.442
Mg: 0.558 0.220 0.132
Mg: 0.926 0.088 0.868
Mg: 0.280 0.412 0.838
Mg: 0.338 0.558 0.426
Mg: 0.088 0.162 0.220
Mg: 0.574 0.632 0.412
Mg: 0.780 0.442 0.368
Mg: 0.838 0.912 0.280
Mg: 0.162 0.088 0.720
Mg: 0.338 0.780 0.412
Mg: 0.058 0.632 0.720
Mg: 0.412 0.280 0.338
Mg: 0.368 0.942 0.780
Mg: 0.558 0.338 0.926
Mg: 0.780 0.338 0.912
Mg: 0.912 0.838 0.780
Mg: 0.662 0.442 0.574
Mg: 0.720 0.588 0.162
Mg: 0.720 0.132 0.058
Mg: 0.662 0.220 0.588
Mg: 0.912 0.074 0.632
Mg: 0.412 0.132 0.574
Mg: 0.426 0.368 0.588
Mg: 0.426 0.058 0.338
Mg: 0.074 0.162 0.442
Mg: 0.220 0.558 0.632
Mg: 0.926 0.838 0.558
Mg: 0.132 0.720 0.558
Mg: 0.368 0.426 0.088
Mg: 0.574 0.942 0.662
Mg: 0.868 0.588 0.926
Mg: 0.074 0.912 0.132
Mg: 0.442 0.780 0.868
Mg: 0.220 0.662 0.088
Mg: 0.132 0.412 0.074
Mg: 0.838 0.926 0.058
Mg: 0.280 0.868 0.942
Mg: 0.588 0.720 0.662
Mg: 0.632 0.058 0.220
Mg: 0.942 0.368 0.280
Mg: 0.588 0.868 0.426
Mg: 0.942 0.574 0.162
Mg: 0.088 0.926 0.368
Mg: 0.162 0.074 0.942
Tl: 0.000 0.500 0.000
Tl: 0.000 0.000 0.000
Tl: 0.250 0.875 0.125
Tl: 0.000 0.500 0.500
Tl: 0.500 0.500 0.500
Tl: 0.125 0.750 0.375
Tl: 0.250 0.375 0.625
Tl: 0.500 0.000 0.500
Tl: 0.375 0.125 0.750
Tl: 0.625 0.750 0.875
Tl: 0.875 0.250 0.625
Tl: 0.500 0.500 0.000
Tl: 0.000 0.000 0.500
Tl: 0.750 0.125 0.875
Tl: 0.750 0.625 0.375
Tl: 0.875 0.625 0.750
Tl: 0.375 0.250 0.125
Tl: 0.625 0.875 0.250
Tl: 0.500 0.000 0.000
Tl: 0.125 0.375 0.250
Sm: 0.125 0.250 0.875
Sm: 0.750 0.875 0.625
Sm: 0.250 0.625 0.875
Sm: 0.875 0.125 0.250
Sm: 0.625 0.250 0.375
Sm: 0.750 0.375 0.125
Sm: 0.375 0.750 0.625
Sm: 0.625 0.375 0.750
Sm: 0.125 0.875 0.750
Sm: 0.875 0.750 0.125
Sm: 0.375 0.625 0.250
Sm: 0.250 0.125 0.375

Output
E_form ... 0.4169 eV per atom
SG ... Ia-3d (230)

=====

[15]
SmMg4Tl5 | GGA-PBE | relaxed

a = 3.703 Å, b = 3.703 Å, c = 18.525 Å
α = 90.00°, β = 90.00°, γ = 90.00°
Sites, in units of the cell vectors:
Tl: 0.500 0.500 0.304
Tl: 0.500 0.500 0.888
Tl: 0.500 0.500 0.696
Tl: 0.500 0.500 0.112
Tl: 0.500 0.500 0.500
Sm: 0.000 0.000 0.000
Mg: 0.000 0.000 0.793
Mg: 0.000 0.000 0.401
Mg: 0.000 0.000 0.207
Mg: 0.000 0.000 0.599

Output
E_form ... -0.1030 eV per atom
SG ... P4/mmm (123)

=====

[16]
SmMg2Tl3 | GGA-PBE | relaxed

a = 4.123 Å, b = 5.006 Å, c = 7.993 Å
α = 108.25°, β = 90.00°, γ = 90.00°
Sites, in units of the cell vectors:
Tl: 0.500 0.500 0.000
Tl: 0.500 0.171 0.343
Tl: 0.500 0.829 0.657
Sm: 0.000 0.000 0.000
Mg: 0.000 0.670 0.340
Mg: 0.000 0.330 0.660

Output
E_form ... -0.1882 eV per atom
SG ... Cmmm (65)

=====

[17]
Sm8MgTl2 | GGA-PBE | relaxed

a = 5.328 Å, b = 7.214 Å, c = 9.518 Å
α = 98.92°, β = 106.25°, γ = 90.00°
Sites, in units of the cell vectors:
Sm: 0.178 0.270 0.357
Sm: 0.664 0.936 0.329
Sm: 0.409 0.552 0.818
Sm: 0.032 0.742 0.064
Sm: 0.822 0.730 0.643
Sm: 0.591 0.448 0.182
Sm: 0.336 0.064 0.671
Sm: 0.968 0.258 0.936
Tl: 0.792 0.285 0.583
Tl: 0.208 0.715 0.417
Mg: 0.500 0.000 0.000

Output
E_form ... -0.1046 eV per atom
SG ... C2/m (12)

=====

[18]
Sm12MgTl3 | GGA-PBE | relaxed

a = 4.950 Å, b = 4.950 Å, c = 19.804 Å
α = 90.00°, β = 90.00°, γ = 90.00°
Sites, in units of the cell vectors:
Sm: 0.500 0.000 0.874
Sm: 0.500 0.000 0.625
Sm: 0.500 0.000 0.375
Sm: 0.000 0.500 0.874
Sm: 0.500 0.500 0.500
Sm: 0.500 0.500 0.000
Sm: 0.500 0.000 0.126
Sm: 0.000 0.500 0.625
Sm: 0.000 0.500 0.375
Sm: 0.500 0.500 0.249
Sm: 0.500 0.500 0.751
Sm: 0.000 0.500 0.126
Tl: 0.000 0.000 0.500
Tl: 0.000 0.000 0.748
Tl: 0.000 0.000 0.252
Mg: 0.000 0.000 0.000

Output
E_form ... -0.1446 eV per atom
SG ... P4/mmm (123)

=====

[19]
SmMgTl2 | GGA-PBE | relaxed

a = 4.863 Å, b = 4.863 Å, c = 5.999 Å
α = 66.09°, β = 66.09°, γ = 60.00°
Sites, in units of the cell vectors:
Mg: 0.500 0.500 0.500
Sm: 0.000 0.000 0.000
Tl: 0.233 0.233 0.301
Tl: 0.767 0.767 0.699

Output
E_form ... -0.2318 eV per atom
SG ... R-3m (166)